w.
An optimized crystal structure of YSb2IN. Source: the Alexandria database, functional PBE.

Lattice parameters (Å, degrees): 4.894 4.894 4.818 90.00 90.00 90.00
Fractional positions:
Y1 0.000 0.000 0.000
Sb1 0.000 0.500 0.500
Sb2 0.500 0.000 0.500
I1 0.500 0.500 0.000
N1 0.500 0.500 0.500

x.
An optimized crystal structure of YSb2IN. Source: the Alexandria database, functional PBE.

Lattice parameters (Å, degrees): 5.917 5.917 5.932 90.00 90.00 90.00
Fractional positions:
Y1 0.000 0.000 0.000
Sb1 0.000 0.500 0.000
Sb2 0.500 0.000 0.000
I1 0.000 0.000 0.500
N1 0.500 0.500 0.500

Which of them is the least stable? Correct choice: x.

w.
An optimized crystal structure of LiS. Source: the Alexandria database, functional PBE.

Lattice parameters (Å, degrees): 4.317 4.317 4.317 139.60 139.60 58.46
Fractional positions:
Li1 0.000 0.000 0.000
S1 0.250 0.750 0.500

x.
An optimized crystal structure of LiS. Source: the Alexandria database, functional PBE.

Lattice parameters (Å, degrees): 6.760 6.760 6.760 90.00 90.00 90.00
Fractional positions:
Li1 0.000 0.250 0.500
Li2 0.000 0.750 0.500
Li3 0.250 0.500 0.000
Li4 0.500 0.000 0.250
Li5 0.500 0.000 0.750
Li6 0.750 0.500 0.000
S1 0.000 0.500 0.250
S2 0.000 0.500 0.750
S3 0.250 0.000 0.500
S4 0.500 0.250 0.000
S5 0.500 0.750 0.000
S6 0.750 0.000 0.500

Which of them is the least stable? Correct choice: x.

w.
An optimized crystal structure of SrAcBi. Source: the Alexandria database, functional PBE.

Lattice parameters (Å, degrees): 5.729 5.729 12.434 90.00 90.00 120.00
Fractional positions:
Sr1 0.333 0.667 0.105
Sr2 0.667 0.333 0.895
Ac1 0.333 0.667 0.642
Ac2 0.667 0.333 0.358
Bi1 0.333 0.667 0.371
Bi2 0.667 0.333 0.629

x.
An optimized crystal structure of SrAcBi. Source: the Alexandria database, functional PBE.

Lattice parameters (Å, degrees): 5.670 5.670 5.670 60.00 60.00 60.00
Fractional positions:
Sr1 0.000 0.000 0.000
Ac1 0.500 0.500 0.500
Bi1 0.250 0.250 0.250

Which of them is the least stable? Correct choice: w.

w.
An optimized crystal structure of Cd3Tc. Source: the Alexandria database, functional PBE.

Lattice parameters (Å, degrees): 4.708 5.901 5.523 90.00 90.00 90.00
Fractional positions:
Cd1 0.250 0.000 0.159
Cd2 0.250 0.250 0.647
Cd3 0.250 0.500 0.159
Cd4 0.750 0.000 0.841
Cd5 0.750 0.500 0.841
Cd6 0.750 0.750 0.353
Tc1 0.250 0.750 0.653
Tc2 0.750 0.250 0.347

x.
An optimized crystal structure of Cd3Tc. Source: the Alexandria database, functional PBE.

Lattice parameters (Å, degrees): 4.463 9.304 7.449 90.00 90.00 90.00
Fractional positions:
Cd1 0.248 0.250 0.092
Cd2 0.249 0.016 0.379
Cd3 0.249 0.484 0.379
Cd4 0.251 0.516 0.879
Cd5 0.251 0.984 0.879
Cd6 0.252 0.750 0.592
Cd7 0.748 0.250 0.408
Cd8 0.749 0.016 0.121
Cd9 0.749 0.484 0.121
Cd10 0.751 0.516 0.621
Cd11 0.751 0.984 0.621
Cd12 0.752 0.750 0.908
Tc1 0.248 0.250 0.670
Tc2 0.252 0.750 0.170
Tc3 0.748 0.250 0.830
Tc4 0.752 0.750 0.330

Which of them is the least stable? Correct choice: w.

w.
An optimized crystal structure of BeHg2Sb. Source: the Alexandria database, functional PBE.

Lattice parameters (Å, degrees): 3.136 3.136 9.388 90.00 90.00 90.00
Fractional positions:
Be1 0.000 0.000 0.000
Hg1 0.000 0.000 0.481
Hg2 0.500 0.500 0.177
Sb1 0.500 0.500 0.820

x.
An optimized crystal structure of BeHg2Sb. Source: the Alexandria database, functional PBE.

Lattice parameters (Å, degrees): 5.283 5.283 5.283 128.34 128.34 76.08
Fractional positions:
Be1 0.000 0.000 0.000
Hg1 0.250 0.750 0.500
Hg2 0.500 0.500 0.000
Sb1 0.750 0.250 0.500

Which of them is the least stable? Correct choice: x.